No. 1
The following is a PBE calculation of a relaxed structure of Cs4NpTe4, from Alexandria via LeMat-Bulk.

Raw formation energy (eV/atom): -0.893

a = 7.949 Å, b = 9.665 Å, c = 7.949 Å
α = 65.72°, β = 90.00°, γ = 114.28°
Atoms (fractional coordinates):
Te (0.899, 0.219, 0.681)
Cs (0.844, 0.284, 0.156)
Cs (0.561, 0.716, 0.844)
Te (0.319, 0.219, 0.101)
Te (0.101, 0.781, 0.899)
Cs (0.156, 0.716, 0.439)
Te (0.681, 0.781, 0.319)
Cs (0.439, 0.284, 0.561)
Np (0.000, 0.000, 0.000)



No. 2
The following is a PBE calculation of a relaxed structure of Cs4Np3TiTe8, from Alexandria via LeMat-Bulk.

Raw formation energy (eV/atom): -0.838

a = 9.104 Å, b = 10.288 Å, c = 9.059 Å
α = 115.83°, β = 120.16°, γ = 90.00°
Atoms (fractional coordinates):
Te (0.220, 0.684, 0.440)
Te (0.217, 0.683, 0.964)
Np (0.500, 0.500, 0.500)
Te (0.732, 0.694, 0.465)
Cs (0.000, 0.000, 0.000)
Te (0.748, 0.683, 0.964)
Cs (0.000, 0.000, 0.500)
Np (0.500, 0.500, 0.000)
Ti (0.000, 0.500, 0.000)
Np (0.000, 0.500, 0.500)
Cs (0.500, 0.000, 0.500)
Te (0.780, 0.316, 0.560)
Cs (0.500, 0.000, 0.000)
Te (0.268, 0.306, 0.535)
Te (0.783, 0.317, 0.036)
Te (0.252, 0.317, 0.036)



No. 3
The following is a PBE calculation of a relaxed structure of CsNpTiTe4, from Alexandria via LeMat-Bulk.

Raw formation energy (eV/atom): -0.750

a = 7.249 Å, b = 7.581 Å, c = 10.620 Å
α = 90.00°, β = 109.48°, γ = 90.00°
Atoms (fractional coordinates):
Ti (0.225, 0.750, 0.337)
Te (0.554, 0.250, 0.417)
Np (0.784, 0.750, 0.455)
Ti (0.775, 0.250, 0.663)
Cs (0.245, 0.250, 0.055)
Cs (0.755, 0.750, 0.945)
Te (0.027, 0.512, 0.704)
Te (0.973, 0.012, 0.296)
Te (0.027, 0.988, 0.704)
Te (0.569, 0.250, 0.822)
Te (0.973, 0.488, 0.296)
Te (0.431, 0.750, 0.178)
Te (0.446, 0.750, 0.583)
Np (0.216, 0.250, 0.545)



No. 4
The following is a PBE calculation of a relaxed structure of Cs2Np2TiTe6, from Alexandria via LeMat-Bulk.

Raw formation energy (eV/atom): -0.816

a = 7.470 Å, b = 7.470 Å, c = 9.559 Å
α = 98.03°, β = 98.03°, γ = 119.68°
Atoms (fractional coordinates):
Cs (0.172, 0.828, 0.000)
Te (0.248, 0.248, 0.317)
Cs (0.828, 0.172, 0.000)
Np (0.332, 0.668, 0.500)
Te (0.752, 0.752, 0.683)
Te (0.378, 0.069, 0.685)
Np (0.668, 0.332, 0.500)
Te (0.069, 0.378, 0.685)
Ti (0.000, 0.000, 0.500)
Te (0.931, 0.622, 0.315)
Te (0.622, 0.931, 0.315)



No. 5
The following is a PBE calculation of a relaxed structure of CsNpTlTe3, from Alexandria via LeMat-Bulk.

Raw formation energy (eV/atom): -0.680

a = 4.573 Å, b = 10.337 Å, c = 11.062 Å
α = 105.05°, β = 90.00°, γ = 90.00°
Atoms (fractional coordinates):
Te (0.750, 0.441, 0.135)
Cs (0.750, 0.810, 0.766)
Te (0.250, 0.664, 0.425)
Te (0.750, 0.336, 0.575)
Cs (0.250, 0.190, 0.234)
Np (0.250, 0.646, 0.152)
Te (0.250, 0.559, 0.865)
Tl (0.250, 0.123, 0.559)
Np (0.750, 0.354, 0.848)
Tl (0.750, 0.877, 0.441)
Te (0.250, 0.149, 0.847)
Te (0.750, 0.851, 0.153)



No. 6
The following is a PBE calculation of a relaxed structure of Cs3TmNp3Te8, from Alexandria via LeMat-Bulk.

Raw formation energy (eV/atom): -0.971

a = 9.032 Å, b = 9.032 Å, c = 10.468 Å
α = 115.57°, β = 90.00°, γ = 120.00°
Atoms (fractional coordinates):
Cs (0.000, 0.000, 0.000)
Cs (0.000, 0.500, 0.000)
Te (0.772, 0.545, 0.314)
Te (0.772, 0.041, 0.314)
Te (0.730, 0.459, 0.689)
Te (0.228, 0.959, 0.686)
Np (0.500, 0.500, 0.500)
Cs (0.500, 0.500, 0.000)
Te (0.228, 0.455, 0.686)
Np (0.000, 0.500, 0.500)
Te (0.269, 0.041, 0.314)
Te (0.270, 0.541, 0.311)
Te (0.731, 0.959, 0.686)
Np (0.500, 0.000, 0.500)
Tm (0.000, 0.000, 0.500)



No. 7
The following is a PBE calculation of a relaxed structure of Cs3Tm3NpTe8, from Alexandria via LeMat-Bulk.

Raw formation energy (eV/atom): -1.216

a = 8.894 Å, b = 8.894 Å, c = 10.447 Å
α = 115.21°, β = 90.00°, γ = 120.00°
Atoms (fractional coordinates):
Te (0.729, 0.458, 0.687)
Te (0.770, 0.043, 0.313)
Cs (0.000, 0.000, 0.000)
Te (0.273, 0.043, 0.313)
Np (0.000, 0.000, 0.500)
Tm (0.500, 0.000, 0.500)
Tm (0.000, 0.500, 0.500)
Cs (0.000, 0.500, 0.000)
Te (0.230, 0.460, 0.687)
Tm (0.500, 0.500, 0.500)
Te (0.770, 0.540, 0.313)
Te (0.230, 0.957, 0.687)
Te (0.727, 0.957, 0.687)
Te (0.271, 0.542, 0.313)
Cs (0.500, 0.500, 0.000)



No. 8
The following is a PBE calculation of a relaxed structure of Cs3Tm2NpTe6, from Alexandria via LeMat-Bulk.

Raw formation energy (eV/atom): -1.190

a = 7.914 Å, b = 7.914 Å, c = 9.268 Å
α = 98.18°, β = 98.18°, γ = 120.05°
Atoms (fractional coordinates):
Te (0.937, 0.596, 0.812)
Tm (0.333, 0.667, 0.000)
Np (0.000, 0.000, 0.000)
Te (0.721, 0.721, 0.188)
Tm (0.667, 0.333, 0.000)
Cs (0.165, 0.835, 0.500)
Te (0.596, 0.937, 0.812)
Cs (0.500, 0.500, 0.500)
Te (0.279, 0.279, 0.812)
Te (0.063, 0.404, 0.188)
Cs (0.835, 0.165, 0.500)
Te (0.404, 0.063, 0.188)



No. 9
The following is a PBE calculation of a relaxed structure of Cs3Np3UTe8, from Alexandria via LeMat-Bulk.

Raw formation energy (eV/atom): -0.833

a = 9.094 Å, b = 9.107 Å, c = 13.875 Å
α = 131.04°, β = 90.00°, γ = 119.95°
Atoms (fractional coordinates):
Te (0.962, 0.418, 0.689)
Np (0.500, 0.500, 0.500)
Te (0.457, 0.914, 0.687)
Te (0.038, 0.077, 0.309)
Te (0.038, 0.582, 0.311)
Np (0.000, 0.500, 0.500)
Cs (0.500, 0.500, 0.000)
Te (0.962, 0.923, 0.691)
U (0.000, 0.000, 0.500)
Te (0.543, 0.086, 0.313)
Cs (0.000, 0.000, 0.000)
Te (0.544, 0.582, 0.311)
Np (0.500, 0.000, 0.500)
Cs (0.000, 0.500, 0.000)
Te (0.456, 0.418, 0.689)



No. 10
The following is a PBE calculation of a relaxed structure of Cs2NpUTe6, from Alexandria via LeMat-Bulk.

Raw formation energy (eV/atom): -0.756

a = 8.383 Å, b = 8.384 Å, c = 11.859 Å
α = 90.00°, β = 90.00°, γ = 90.00°
Atoms (fractional coordinates):
Cs (0.500, 0.750, 0.250)
Cs (0.500, 0.750, 0.750)
Te (0.752, 0.502, 0.000)
Np (0.500, 0.250, 0.000)
Te (0.748, 0.498, 0.500)
U (0.000, 0.750, 0.000)
Te (0.248, 0.502, 0.000)
Te (0.752, 0.998, 0.000)
U (0.500, 0.250, 0.500)
Np (0.000, 0.750, 0.500)
Te (0.748, 0.002, 0.500)
Te (0.252, 0.498, 0.500)
Te (0.252, 0.002, 0.500)
Cs (0.000, 0.250, 0.250)
Cs (0.000, 0.250, 0.750)
Te (0.000, 0.750, 0.248)
Te (0.248, 0.998, 0.000)
Te (0.000, 0.750, 0.752)
Te (0.500, 0.250, 0.748)
Te (0.500, 0.250, 0.252)



No. 11
The following is a PBE calculation of a relaxed structure of Cs3Np2VTe6, from Alexandria via LeMat-Bulk.

Raw formation energy (eV/atom): -0.770

a = 7.754 Å, b = 7.754 Å, c = 9.261 Å
α = 98.05°, β = 98.05°, γ = 120.03°
Atoms (fractional coordinates):
Te (0.626, 0.939, 0.818)
Cs (0.828, 0.172, 0.500)
Te (0.252, 0.252, 0.815)
Te (0.374, 0.061, 0.182)
Np (0.334, 0.666, 0.000)
Te (0.939, 0.626, 0.818)
Cs (0.500, 0.500, 0.500)
V (0.000, 0.000, 0.000)
Np (0.666, 0.334, 0.000)
Te (0.061, 0.374, 0.182)
Cs (0.172, 0.828, 0.500)
Te (0.748, 0.748, 0.185)



No. 12
The following is a PBE calculation of a relaxed structure of Cs3YNp2Te6, from Alexandria via LeMat-Bulk.

Raw formation energy (eV/atom): -1.051

a = 7.978 Å, b = 7.978 Å, c = 9.302 Å
α = 98.22°, β = 98.22°, γ = 120.00°
Atoms (fractional coordinates):
Te (0.937, 0.606, 0.810)
Y (0.000, 0.000, 0.000)
Te (0.394, 0.063, 0.190)
Np (0.333, 0.667, 0.000)
Cs (0.167, 0.833, 0.500)
Cs (0.500, 0.500, 0.500)
Te (0.733, 0.733, 0.190)
Cs (0.833, 0.167, 0.500)
Te (0.606, 0.937, 0.810)
Te (0.063, 0.394, 0.190)
Te (0.267, 0.267, 0.810)
Np (0.667, 0.333, 0.000)



- What is the formula in the tenth record?
  Cs2NpUTe6



- Among the records above, which one has the highest raw formation energy?
  CsNpTlTe3



- What is the formula in the twelfth record?
  Cs3YNp2Te6



- The lowest raw formation energy belongs to which entry?
  Cs3Tm3NpTe8